P) VASP calculation (PBE-GGA) on an optimized crystal structure of InSi2Tc2.

## Properties
Density of states at the Fermi level (states/eV/f.u.): 2.3
Theoretical density (Mg/m³): 7.92

Lattice parameters (Å, degrees): 7.0649 7.0649 3.0845 90.00 90.00 90.00
Space group P4/mbm (No. 127)
Inequivalent atoms, fractional coordinates:
In: 0.0000 0.0000 0.0000
Si: 0.1411 0.3589 0.5000
Tc: 0.1487 0.6487 0.0000

Q) VASP calculation (PBE-GGA) on an optimized crystal structure of InSi2Tc2.

## Properties
Density of states at the Fermi level (states/eV/f.u.): 2.3
Theoretical density (Mg/m³): 7.75

Lattice parameters (Å, degrees): 3.4676 3.4676 13.0769 90.00 90.00 90.00
Space group I4/mmm (No. 139)
Inequivalent atoms, fractional coordinates:
In: 0.0000 0.0000 0.0000
Si: 0.0000 0.5000 0.2500
Tc: 0.0000 0.0000 0.3842

R) VASP calculation (PBE-GGA) on an optimized crystal structure of InSi2Tc2.

## Properties
Density of states at the Fermi level (states/eV/f.u.): 2.6
Theoretical density (Mg/m³): 8.16

Lattice parameters (Å, degrees): 7.0829 7.0829 2.9755 90.00 90.00 90.00
Space group P4/mbm (No. 127)
Inequivalent atoms, fractional coordinates:
In: 0.0000 0.0000 0.0000
Si: 0.1325 0.3675 0.0000
Tc: 0.1567 0.6567 0.5000

The least stable of them is R).

P) VASP calculation (PBE-GGA) on an optimized crystal structure of InSiTe2.

## Properties
Density of states at the Fermi level (states/eV/f.u.): 1.8
Theoretical density (Mg/m³): 6.11

Lattice parameters (Å, degrees): 4.0929 5.7093 9.2624 90.00 90.00 90.00
Space group Cmmm (No. 65)
Inequivalent atoms, fractional coordinates:
In: 0.0000 0.0000 0.0000
Si: 0.0000 0.0000 0.5000
Te: 0.0000 0.5000 0.2896

Q) VASP calculation (PBE-GGA) on an optimized crystal structure of InSiTe2.

## Properties
Density of states at the Fermi level (states/eV/f.u.): 1.5
Theoretical density (Mg/m³): 5.30

Lattice parameters (Å, degrees): 3.8353 3.8353 29.3610 90.00 90.00 120.00
Space group R-3m (No. 166, hexagonal axes)
Inequivalent atoms, fractional coordinates:
In: 0.0000 0.0000 0.0000
Si: 0.0000 0.0000 0.5000
Te: 0.0000 0.0000 0.1123

R) VASP calculation (PBE-GGA) on an optimized crystal structure of InSiTe2.

## Properties
Density of states at the Fermi level (states/eV/f.u.): 2.7
Theoretical density (Mg/m³): 5.72

Lattice parameters (Å, degrees): 3.6327 5.9395 10.7135 90.00 90.00 90.00
Space group Immm (No. 71)
Inequivalent atoms, fractional coordinates:
In: 0.0000 0.0000 0.0000
Si: 0.0000 0.0000 0.5000
Te: 0.0000 0.5000 0.1805

S) VASP calculation (PBE-GGA) on an optimized crystal structure of InSiTe2.

## Properties
Density of states at the Fermi level (states/eV/f.u.): 1.6
Theoretical density (Mg/m³): 5.83

Lattice parameters (Å, degrees): 3.8876 3.9949 14.5931 90.00 90.00 90.00
Space group Imm2 (No. 44)
Inequivalent atoms, fractional coordinates:
In: 0.0000 0.0000 0.0000
Si: 0.0000 0.5000 0.2525
Te: 0.0000 0.0000 0.6034
Te: 0.0000 0.5000 0.8257

The least stable of them is P).